VASP calculation (PBE+U) on a relaxed structure of NaAgMo2O8.

Its electronic total energy is -5.945 eV/atom. The calculated volume is 366.90 Å³/cell.

a b c (Å): 7.2757 7.2757 6.9310
angles (deg): 90.00 90.00 90.00
Space group I-4m2 (No. 119)
Unique sites:
Na 0.0000 0.0000 0.0000 (multiplicity 2)
Ag 0.0000 0.5000 0.7500 (multiplicity 2)
Mo 0.0000 0.0000 0.5000 (multiplicity 2)
Mo 0.0000 0.5000 0.2500 (multiplicity 2)
O 0.0000 0.1992 0.6544 (multiplicity 8)
O 0.0000 0.3023 0.0950 (multiplicity 8)